Record 1
A relaxed La3PrCdRu crystal. Source: Alexandria, functional PBE-GGA.

ΔE_f   -207 meV per atom

a b c (Å): 8.9196 8.9196 6.2815
angles (deg): 106.12 106.12 51.54
Positions (direct):
1 La 0.1240 0.6371 0.9088
2 La 0.1771 0.1771 0.6338
3 La 0.3629 0.8760 0.0912
4 La 0.6371 0.1240 0.9088
5 La 0.8229 0.8229 0.3662
6 La 0.8760 0.3629 0.0912
7 Pr 0.3007 0.6993 0.5000
8 Pr 0.6993 0.3007 0.5000
9 Cd 0.3062 0.3062 0.2908
10 Cd 0.6938 0.6938 0.7092
11 Ru 0.0031 0.0031 0.2414
12 Ru 0.9969 0.9969 0.7586



Record 2
A relaxed Rb4Ce3SmTe8 crystal. Source: Alexandria, functional PBE-GGA.

Raw formation energy   -1.353 eV per atom

a b c (Å): 10.1007 10.1007 10.1007
angles (deg): 55.11 55.11 55.11
Positions (direct):
1 Rb 0.0000 0.0000 0.0000
2 Rb 0.0000 0.5000 0.5000
3 Rb 0.5000 0.0000 0.5000
4 Rb 0.5000 0.5000 0.0000
5 Ce 0.0000 0.0000 0.5000
6 Ce 0.0000 0.5000 0.0000
7 Ce 0.5000 0.0000 0.0000
8 Sm 0.5000 0.5000 0.5000
9 Te 0.2348 0.2348 0.2348
10 Te 0.2379 0.7328 0.7328
11 Te 0.2672 0.2672 0.7621
12 Te 0.2672 0.7621 0.2672
13 Te 0.7328 0.2379 0.7328
14 Te 0.7328 0.7328 0.2379
15 Te 0.7621 0.2672 0.2672
16 Te 0.7652 0.7652 0.7652



Record 3
A relaxed Ca3Cd crystal. Source: Alexandria, functional PBE-GGA.

ΔE_f   -142 meV per atom

a b c (Å): 6.9874 6.9874 6.9874
angles (deg): 147.04 129.83 61.34
Positions (direct):
1 Ca 0.0000 0.0000 0.0000
2 Ca 0.2873 0.7873 0.5000
3 Ca 0.7127 0.2127 0.5000
4 Cd 0.5000 0.5000 0.0000



Record 4
A relaxed H2SeF crystal. Source: Alexandria, functional PBE-GGA.

Energy above the most stable polymorph in this dataset   0.142 eV/atom

a b c (Å): 6.1363 6.1363 6.1363
angles (deg): 142.10 142.10 54.68
Positions (direct):
1 H 0.3750 0.2065 0.3315
2 H 0.7935 0.1250 0.1685
3 H 0.8750 0.0435 0.6685
4 H 0.9565 0.6250 0.8315
5 Se 0.0000 0.0000 0.0000
6 Se 0.7500 0.2500 0.5000
7 F 0.2500 0.7500 0.5000
8 F 0.5000 0.5000 0.0000



Record 5
A relaxed Gd2DyBi crystal. Source: Alexandria, functional PBE-GGA.

ΔE_f   -207 meV per atom
Energy above the most stable polymorph in this dataset   0.187 eV/atom

a b c (Å): 11.1755 11.1755 11.1755
angles (deg): 18.81 18.81 18.81
Positions (direct):
1 Gd 0.2461 0.2461 0.2461
2 Gd 0.7539 0.7539 0.7539
3 Dy 0.0000 0.0000 0.0000
4 Bi 0.5000 0.5000 0.5000



Record 6
A relaxed ScIrRh6 crystal. Source: Alexandria, functional PBE-GGA.

ΔE_f   -283 meV per atom

a b c (Å): 5.4861 5.4861 3.9175
angles (deg): 90.00 90.00 90.00
Positions (direct):
1 Sc 0.0000 0.0000 0.0000
2 Ir 0.5000 0.5000 0.0000
3 Rh 0.0000 0.5000 0.0000
4 Rh 0.2575 0.2575 0.5000
5 Rh 0.2575 0.7425 0.5000
6 Rh 0.5000 0.0000 0.0000
7 Rh 0.7425 0.2575 0.5000
8 Rh 0.7425 0.7425 0.5000



Record 7
A relaxed MoRuSe crystal. Source: Alexandria, functional PBE-GGA.

Raw formation energy   0.153 eV per atom
Energy above the most stable polymorph in this dataset   0.097 eV/atom

a b c (Å): 12.1823 3.0869 3.0869
angles (deg): 59.14 90.00 90.00
Positions (direct):
1 Mo 0.0000 0.0000 0.0000
2 Mo 0.5000 0.0668 0.0668
3 Ru 0.3441 0.7596 0.7596
4 Ru 0.6559 0.7596 0.7596
5 Se 0.1490 0.3280 0.3280
6 Se 0.8510 0.3280 0.3280



Record 8
A relaxed LiMgBeH5 crystal. Source: Alexandria, functional PBE-GGA.

DFT total energy   -3.214 eV/atom

a b c (Å): 4.9456 4.9456 6.5573
angles (deg): 105.18 105.18 101.14
Positions (direct):
1 Li 0.1616 0.8384 0.7500
2 Li 0.8384 0.1616 0.2500
3 Mg 0.5000 0.5000 0.0000
4 Mg 0.5000 0.5000 0.5000
5 Be 0.1690 0.8310 0.2500
6 Be 0.8310 0.1690 0.7500
7 H 0.1142 0.2160 0.9091
8 H 0.1600 0.6157 0.3620
9 H 0.2160 0.1142 0.4091
10 H 0.3843 0.8400 0.1380
11 H 0.3965 0.6035 0.7500
12 H 0.6035 0.3965 0.2500
13 H 0.6157 0.1600 0.8620
14 H 0.7840 0.8858 0.5909
15 H 0.8400 0.3843 0.6380
16 H 0.8858 0.7840 0.0909



Record 9
A relaxed PuSi2Ag crystal. Source: Alexandria, functional PBE-GGA.

Raw formation energy   -0.282 eV per atom

a b c (Å): 13.4927 4.1366 10.8771
angles (deg): 90.00 90.00 90.00
Positions (direct):
1 Pu 0.0532 0.2500 0.2350
2 Pu 0.1936 0.7500 0.9598
3 Pu 0.3064 0.2500 0.4598
4 Pu 0.4468 0.7500 0.7350
5 Pu 0.5532 0.2500 0.2650
6 Pu 0.6936 0.7500 0.5402
7 Pu 0.8064 0.2500 0.0402
8 Pu 0.9468 0.7500 0.7650
9 Si 0.0284 0.2500 0.9613
10 Si 0.1112 0.2500 0.7761
11 Si 0.1324 0.7500 0.4377
12 Si 0.2105 0.7500 0.2498
13 Si 0.2895 0.2500 0.7498
14 Si 0.3676 0.2500 0.9377
15 Si 0.3888 0.7500 0.2761
16 Si 0.4716 0.7500 0.4613
17 Si 0.5284 0.2500 0.5387
18 Si 0.6112 0.2500 0.7239
19 Si 0.6324 0.7500 0.0623
20 Si 0.7105 0.7500 0.2502
21 Si 0.7895 0.2500 0.7502
22 Si 0.8676 0.2500 0.5623
23 Si 0.8888 0.7500 0.2239
24 Si 0.9716 0.7500 0.0387
25 Ag 0.0610 0.2500 0.5514
26 Ag 0.2009 0.7500 0.6583
27 Ag 0.2991 0.2500 0.1583
28 Ag 0.4390 0.7500 0.0514
29 Ag 0.5610 0.2500 0.9486
30 Ag 0.7009 0.7500 0.8417
31 Ag 0.7991 0.2500 0.3417
32 Ag 0.9390 0.7500 0.4486



Record 10
A relaxed CaPBr2 crystal. Source: Alexandria, functional PBE-GGA.

Raw formation energy   -0.549 eV per atom
Energy above the most stable polymorph in this dataset   0.305 eV/atom

a b c (Å): 3.5002 3.5002 10.5558
angles (deg): 90.00 90.00 90.10
Positions (direct):
1 Ca 0.0000 0.0000 0.0000
2 P 0.0000 0.0000 0.5000
3 Br 0.5000 0.5000 0.1629
4 Br 0.5000 0.5000 0.8371



Record 11
A relaxed CuRu crystal. Source: Alexandria, functional PBE-GGA.

ΔE_f   321 meV per atom

a b c (Å): 4.2164 4.2164 4.2164
angles (deg): 60.00 60.00 60.00
Positions (direct):
1 Cu 0.1250 0.1250 0.1250
2 Cu 0.8750 0.8750 0.8750
3 Ru 0.3750 0.3750 0.3750
4 Ru 0.6250 0.6250 0.6250



Record 12
A relaxed Co2SiN crystal. Source: Alexandria, functional PBE-GGA.

Raw formation energy   0.078 eV per atom
Energy above the most stable polymorph in this dataset   0.000 eV/atom

a b c (Å): 5.5441 5.5441 5.5441
angles (deg): 129.37 129.37 74.42
Positions (direct):
1 Co 0.0400 0.6250 0.9150
2 Co 0.3750 0.2900 0.4150
3 Co 0.7100 0.1250 0.0850
4 Co 0.8750 0.9600 0.5850
5 Si 0.2500 0.7500 0.5000
6 Si 0.5000 0.5000 0.0000
7 N 0.0000 0.0000 0.0000
8 N 0.7500 0.2500 0.5000